Entry 1:
First-principles (GGA-PBE) data for YAs2Br after structural relaxation, as listed in the Alexandria database.

Cell: 7.176 7.176 7.176 Å, 90.00 90.00 90.00°
Space group F-43m (No. 216)
One atom of each set of equivalent atoms:
Y: 0.000 0.000 0.000 (multiplicity 4)
As: 0.000 0.000 0.500 (multiplicity 4)
As: 0.250 0.250 0.250 (multiplicity 4)
Br: 0.250 0.250 0.750 (multiplicity 4)



Entry 2:
First-principles (GGA-PBE) data for YZrAs2Br after structural relaxation, as listed in the Alexandria database.

Cell: 5.399 5.399 5.252 Å, 90.00 90.00 90.00°
Space group P4/mmm (No. 123)
One atom of each set of equivalent atoms:
Y: 0.000 0.000 0.000 (multiplicity 1)
Zr: 0.500 0.500 0.500 (multiplicity 1)
As: 0.000 0.500 0.000 (multiplicity 2)
Br: 0.000 0.000 0.500 (multiplicity 1)



Entry 3:
First-principles (GGA-PBE) data for YZrAs2Br after structural relaxation, as listed in the Alexandria database.

Cell: 5.230 5.230 5.084 Å, 90.00 90.00 90.00°
Space group P4/mmm (No. 123)
One atom of each set of equivalent atoms:
Y: 0.000 0.000 0.000 (multiplicity 1)
Zr: 0.500 0.500 0.500 (multiplicity 1)
As: 0.000 0.500 0.500 (multiplicity 2)
Br: 0.500 0.500 0.000 (multiplicity 1)



Entry 4:
First-principles (GGA-PBE) data for Zn3AsBr9 after structural relaxation, as listed in the Alexandria database.

Cell: 18.168 9.334 13.169 Å, 90.00 128.58 90.00°
Space group Cc (No. 9)
One atom of each set of equivalent atoms:
Zn: 0.000 0.072 0.000 (multiplicity 4)
Zn: 0.131 0.423 0.942 (multiplicity 4)
Zn: 0.399 0.116 0.597 (multiplicity 4)
As: 0.275 0.228 0.781 (multiplicity 4)
Br: 0.014 0.230 0.864 (multiplicity 4)
Br: 0.064 0.374 0.290 (multiplicity 4)
Br: 0.126 0.027 0.707 (multiplicity 4)
Br: 0.165 0.465 0.636 (multiplicity 4)
Br: 0.266 0.314 0.973 (multiplicity 4)
Br: 0.269 0.077 0.602 (multiplicity 4)
Br: 0.367 0.343 0.487 (multiplicity 4)
Br: 0.408 0.062 0.964 (multiplicity 4)
Br: 0.413 0.375 0.826 (multiplicity 4)



Entry 5:
First-principles (GGA-PBE) data for ZnAsBr2 after structural relaxation, as listed in the Alexandria database.

Cell: 3.508 4.289 6.527 Å, 90.00 90.00 90.00°
Space group Pmmm (No. 47)
One atom of each set of equivalent atoms:
Zn: 0.000 0.000 0.000 (multiplicity 1)
As: 0.500 0.000 0.500 (multiplicity 1)
Br: 0.000 0.500 0.500 (multiplicity 1)
Br: 0.500 0.500 0.000 (multiplicity 1)



Entry 6:
First-principles (GGA-PBE) data for ZnAsBr2 after structural relaxation, as listed in the Alexandria database.

Cell: 7.614 7.614 6.700 Å, 90.00 90.00 90.00°
Space group I-42d (No. 122)
One atom of each set of equivalent atoms:
Zn: 0.000 0.000 0.000 (multiplicity 4)
As: 0.000 0.000 0.500 (multiplicity 4)
Br: 0.222 0.250 0.125 (multiplicity 8)



Entry 7:
First-principles (GGA-PBE) data for ZnAsBr2 after structural relaxation, as listed in the Alexandria database.

Cell: 7.106 7.133 3.576 Å, 90.00 90.00 90.00°
Space group Cmmm (No. 65)
One atom of each set of equivalent atoms:
Zn: 0.000 0.000 0.000 (multiplicity 2)
As: 0.000 0.500 0.000 (multiplicity 2)
Br: 0.250 0.250 0.500 (multiplicity 4)



Entry 8:
First-principles (GGA-PBE) data for ZnAsBr2 after structural relaxation, as listed in the Alexandria database.

Cell: 3.283 3.283 9.890 Å, 90.00 90.00 90.00°
Space group P4/mmm (No. 123)
One atom of each set of equivalent atoms:
Zn: 0.000 0.000 0.000 (multiplicity 1)
As: 0.000 0.000 0.500 (multiplicity 1)
Br: 0.500 0.500 0.165 (multiplicity 2)



Volume
In order: 23.10; 30.61; 27.81; 33.57; 24.55; 24.28; 22.66; 26.65
Unit: A^3/atom
Raw formation energy
In order: -0.349; 0.155; -0.457; -0.661; 0.169; 0.216; 0.378; 0.282
Unit: eV per atom